Compound: TiCr3B
Source: Alexandria via LeMat-Bulk
Functional: GGA-PBE
Structure: relaxed

It has space group Pm-3m (No. 221), with a = 4.187 Å, b = 4.187 Å, c = 4.187 Å, α = 90.00°, β = 90.00° and γ = 90.00°. The asymmetric unit holds Ti at (0.000, 0.000, 0.000), Cr at (0.000, 0.000, 0.500) and B at (0.500, 0.500, 0.500).

Its formation energy is 11.1 eV/f.u. As for the crystal system: cubic.

***

Compound: NpSbPb
Source: Alexandria via LeMat-Bulk
Functional: GGA-PBE
Structure: relaxed

It has space group Immm (No. 71), with a = 3.151 Å, b = 5.817 Å, c = 18.981 Å, α = 90.00°, β = 90.00° and γ = 90.00°. The asymmetric unit holds Np at (0.000, 0.000, 0.166), Sb at (0.000, 0.000, 0.331) and Pb at (0.000, 0.248, 0.000).

As for the crystal system: orthorhombic.

***

What total moment values result from the calculations? In sequence: 0.0, 4.6 μB/f.u..
What total DFT energy (no corrections) values result from the calculations? In sequence: -6.47, -6.72 eV/atom.
What energy above the most stable polymorph in this dataset values result from the calculations? In sequence: 2063.9, 100.3 meV/atom.